A PBEsol-optimized structure of CoNiOs2, computed with SCAN.

Cell lengths 2.5744, 2.5744, 8.5497 Å; angles 90.00, 90.00, 116.28 degrees
Positions (direct):
Co1 0.0000 0.0000 0.0000
Ni1 0.0000 0.0000 0.5000
Os1 0.5000 0.5000 0.2492
Os2 0.5000 0.5000 0.7508

Results
The value obtained for the energy above the most stable polymorph in this dataset is 4.088 kcal/mol of atoms. The density of states at the Fermi level comes out at 3.8 states/eV per cell. The energy of formation from the pure elements is 39.8 kJ/mol of atoms. The space group is Cmmm, No. 65.